# 1
Here is SnB2Pt after structural relaxation from the Alexandria database. Energies are from PBE.

abc: 5.3390 6.8301 7.9339
angles: 90.00 120.79 90.00
Fractional positions:
B 0.6677 0.0000 0.6164
B 0.6677 0.5000 0.1164
B 0.9004 0.6256 0.3310
B 0.9004 0.3744 0.3310
B 0.9004 0.1256 0.8310
B 0.9004 0.8744 0.8310
B 0.1034 0.0000 0.0457
B 0.1034 0.5000 0.5457
Sn 0.3118 0.0000 0.7265
Sn 0.3118 0.5000 0.2265
Sn 0.5867 0.0000 0.2726
Sn 0.5867 0.5000 0.7726
Pt 0.8220 0.7832 0.0692
Pt 0.8220 0.2168 0.0692
Pt 0.8220 0.2832 0.5692
Pt 0.8220 0.7168 0.5692

Properties
The calculation puts the volume at 62 Å³/f.u. Its space group is Cm (8). Its crystal system is monoclinic. The value obtained for the energy of formation is 0.1520 eV/atom. The electronic total energy is -5.698 eV/atom. For the density of states at the Fermi level, the calculation gives 5.01 states/eV per cell.


# 2
Here is SnB2Pt after structural relaxation from the Alexandria database. Energies are from PBE.

abc: 4.1464 7.2524 8.4988
angles: 90.00 90.11 90.00
Fractional positions:
B 0.0000 0.7972 0.0000
B 0.0000 0.2028 0.0000
B 0.0000 0.2972 0.5000
B 0.0000 0.7028 0.5000
B 0.0000 0.0000 0.0969
B 0.0000 0.0000 0.9031
B 0.0000 0.5000 0.5969
B 0.0000 0.5000 0.4031
Sn 0.4995 0.0000 0.6652
Sn 0.5005 0.0000 0.3348
Sn 0.4995 0.5000 0.1652
Sn 0.5005 0.5000 0.8348
Pt 0.0000 0.2500 0.2500
Pt 0.0000 0.2500 0.7500
Pt 0.0000 0.7500 0.7500
Pt 0.0000 0.7500 0.2500

Properties
The calculation puts the volume at 64 Å³/f.u. Its space group is C2/m (12). Its crystal system is monoclinic. The value obtained for the energy of formation is 0.1048 eV/atom. The electronic total energy is -5.745 eV/atom. For the density of states at the Fermi level, the calculation gives 4.68 states/eV per cell.


# 3
Here is SnB2Pt after structural relaxation from the Alexandria database. Energies are from PBE.

abc: 4.4061 6.7798 8.2869
angles: 90.00 113.49 90.00
Fractional positions:
B 0.7126 0.0000 0.5514
B 0.2874 0.0000 0.4486
B 0.7126 0.5000 0.0514
B 0.2874 0.5000 0.9486
B 0.0000 0.6272 0.0000
B 0.0000 0.3728 0.0000
B 0.0000 0.1272 0.5000
B 0.0000 0.8728 0.5000
Sn 0.4396 0.0000 0.1757
Sn 0.5604 0.0000 0.8243
Sn 0.4396 0.5000 0.6757
Sn 0.5604 0.5000 0.3243
Pt 0.0000 0.2500 0.2500
Pt 0.0000 0.2500 0.7500
Pt 0.0000 0.7500 0.7500
Pt 0.0000 0.7500 0.2500

Properties
The calculation puts the volume at 57 Å³/f.u. Its space group is C2/m (12). Its crystal system is monoclinic. The value obtained for the energy of formation is -0.0265 eV/atom. The electronic total energy is -5.876 eV/atom. For the density of states at the Fermi level, the calculation gives 4.59 states/eV per cell.


# 4
Here is Sr2SnBPt after structural relaxation from the Alexandria database. Energies are from PBE.

abc: 5.8341 5.0017 5.8341
angles: 90.00 90.00 90.00
Last column: magnetic moment on the atom in μB.
Fractional positions:
Sr 0.0000 0.0000 0.5000  0.02
Sr 0.5000 0.0000 0.0000  0.01
B 0.5000 0.5000 0.5000  0.29
Sn 0.0000 0.5000 0.0000  -0.02
Pt 0.0000 0.0000 0.0000  0.02

Properties
The calculation puts the volume at 170 Å³/f.u. Its space group is P4/mmm (123). Its crystal system is tetragonal. The value obtained for the energy of formation is 0.3419 eV/atom. The electronic total energy is -3.675 eV/atom. For the density of states at the Fermi level, the calculation gives 1.76 states/eV per cell.


# 5
Here is TaSnBPt2 after structural relaxation from the Alexandria database. Energies are from PBE.

abc: 4.9740 4.3828 4.9740
angles: 90.00 90.00 90.00
Fractional positions:
B 0.0000 0.5000 0.0000
Sn 0.5000 0.5000 0.5000
Pt 0.0000 0.0000 0.5000
Pt 0.5000 0.0000 0.0000
Ta 0.0000 0.0000 0.0000

Properties
The calculation puts the volume at 108 Å³/f.u. Its space group is P4/mmm (123). Its crystal system is tetragonal. The value obtained for the energy of formation is 0.8917 eV/atom. The electronic total energy is -6.031 eV/atom. For the density of states at the Fermi level, the calculation gives 5.46 states/eV per cell.


# 6
Here is Th2SnBPt6 after structural relaxation from the Alexandria database. Energies are from PBE.

abc: 5.8714 5.8714 13.4065
angles: 77.35 77.35 60.00
Fractional positions:
Th 0.8867 0.8867 0.3400
Th 0.1133 0.1133 0.6600
Th 0.7216 0.7216 0.8353
Th 0.2784 0.2784 0.1647
Sn 0.5803 0.5803 0.2590
Sn 0.4197 0.4197 0.7410
B 0.0000 0.0000 0.0000
B 0.5000 0.5000 0.5000
Pt 0.8892 0.3497 0.4114
Pt 0.3497 0.8892 0.4114
Pt 0.3497 0.3497 0.4114
Pt 0.1108 0.6503 0.5886
Pt 0.6503 0.1108 0.5886
Pt 0.6503 0.6503 0.5886
Pt 0.6994 0.1990 0.9025
Pt 0.1990 0.6994 0.9025
Pt 0.1990 0.1990 0.9025
Pt 0.3006 0.8010 0.0975
Pt 0.8010 0.3006 0.0975
Pt 0.8010 0.8010 0.0975

Properties
The calculation puts the volume at 194 Å³/f.u. Its space group is R-3m (166). Its crystal system is trigonal. The value obtained for the energy of formation is -0.8290 eV/atom. The electronic total energy is -7.006 eV/atom. For the density of states at the Fermi level, the calculation gives 12.19 states/eV per cell.


# 7
Here is SrB3Pt after structural relaxation from the Alexandria database. Energies are from PBE.

abc: 4.2387 4.2387 4.2387
angles: 90.00 90.00 90.00
Last column: magnetic moment on the atom in μB.
Fractional positions:
Sr 0.5000 0.5000 0.5000  0.05
B 0.0000 0.5000 0.0000  0.09
B 0.0000 0.0000 0.5000  0.17
B 0.5000 0.0000 0.0000  0.13
Pt 0.0000 0.0000 0.0000  0.17

Properties
The calculation puts the volume at 76 Å³/f.u. Its space group is Pm-3m (221). Its crystal system is cubic. The value obtained for the energy of formation is 0.7136 eV/atom. As for the excess energy over the best structure of this formula in the dataset: 0.000 eV/atom. The electronic total energy is -4.837 eV/atom. For the density of states at the Fermi level, the calculation gives 6.01 states/eV per cell.


# 8
Here is SrBPt3 after structural relaxation from the Alexandria database. Energies are from PBE.

abc: 5.3018 5.3018 5.3018
angles: 90.00 90.00 90.00
Fractional positions:
Sr 0.0000 0.0000 0.0000
B 0.5000 0.5000 0.5000
Pt 0.0000 0.5000 0.0000
Pt 0.0000 0.0000 0.5000
Pt 0.5000 0.0000 0.0000

Properties
The calculation puts the volume at 149 Å³/f.u. Its space group is Pm-3m (221). Its crystal system is cubic. The value obtained for the energy of formation is 2.4141 eV/atom. As for the excess energy over the best structure of this formula in the dataset: 2.921 eV/atom. The electronic total energy is -2.882 eV/atom. For the density of states at the Fermi level, the calculation gives 2.34 states/eV per cell.


# 9
Here is SrB5Pt7 after structural relaxation from the Alexandria database. Energies are from PBE.

abc: 3.5708 7.5362 7.5362
angles: 72.96 76.30 76.30
Fractional positions:
Sr 0.9691 0.0309 0.0309
B 0.5302 0.9787 0.4456
B 0.0455 0.9787 0.4456
B 0.5302 0.4456 0.9787
B 0.0455 0.4456 0.9787
B 0.6730 0.8270 0.8270
Pt 0.5591 0.4409 0.4409
Pt 0.2803 0.7197 0.7197
Pt 0.9377 0.3932 0.7314
Pt 0.9377 0.7314 0.3932
Pt 0.2511 0.2489 0.2489
Pt 0.6202 0.6590 0.1006
Pt 0.6202 0.1006 0.6590

Properties
The calculation puts the volume at 185 Å³/f.u. Its space group is Imm2 (44). Its crystal system is orthorhombic. The value obtained for the energy of formation is -0.0638 eV/atom. The electronic total energy is -6.014 eV/atom. For the density of states at the Fermi level, the calculation gives 6.53 states/eV per cell.


# 10
Here is SrB4Pt6 after structural relaxation from the Alexandria database. Energies are from PBE.

abc: 6.3699 6.3700 8.8358
angles: 46.74 46.74 68.39
Fractional positions:
Sr 0.8697 0.8697 0.1131
B 0.6833 0.2730 0.2804
B 0.6666 0.6666 0.8056
B 0.2730 0.6833 0.2804
B 0.4265 0.4265 0.7303
Pt 0.4689 0.8479 0.6311
Pt 0.8479 0.4689 0.6311
Pt 0.3720 0.3720 0.5477
Pt 0.9863 0.5427 0.8729
Pt 0.3633 0.3633 0.2343
Pt 0.5427 0.9863 0.8729

Properties
The calculation puts the volume at 187 Å³/f.u. Its space group is Cm (8). Its crystal system is monoclinic. The value obtained for the energy of formation is -0.2267 eV/atom. As for the excess energy over the best structure of this formula in the dataset: 0.212 eV/atom. The electronic total energy is -6.103 eV/atom. For the density of states at the Fermi level, the calculation gives 4.58 states/eV per cell.


# 11
Here is SrBPt3 after structural relaxation from the Alexandria database. Energies are from PBE.

abc: 4.3989 4.3989 4.3989
angles: 90.00 90.00 90.00
Fractional positions:
Sr 0.5000 0.5000 0.5000
B 0.0000 0.0000 0.0000
Pt 0.0000 0.5000 0.0000
Pt 0.0000 0.0000 0.5000
Pt 0.5000 0.0000 0.0000

Properties
The calculation puts the volume at 85 Å³/f.u. Its space group is Pm-3m (221). Its crystal system is cubic. The value obtained for the energy of formation is -0.5071 eV/atom. As for the excess energy over the best structure of this formula in the dataset: 0.000 eV/atom. The electronic total energy is -5.803 eV/atom. For the density of states at the Fermi level, the calculation gives 6.01 states/eV per cell.


# 12
Here is SrB3Pt after structural relaxation from the Alexandria database. Energies are from PBE.

abc: 4.5476 4.5476 4.5476
angles: 90.00 90.00 90.00
Fractional positions:
Sr 0.0000 0.0000 0.0000
B 0.0000 0.5000 0.0000
B 0.0000 0.0000 0.5000
B 0.5000 0.0000 0.0000
Pt 0.5000 0.5000 0.5000

Properties
The calculation puts the volume at 94 Å³/f.u. Its space group is Pm-3m (221). Its crystal system is cubic. The value obtained for the energy of formation is 3.1116 eV/atom. As for the excess energy over the best structure of this formula in the dataset: 2.398 eV/atom. The electronic total energy is -2.439 eV/atom. For the density of states at the Fermi level, the calculation gives 4.80 states/eV per cell.